Material: Rb3BI6
Method: DFT, PBE
State: relaxed

As for the density of states at the Fermi level: 0.00 states/eV/cell. Its raw formation energy is -0.869 eV per atom.

The structure belongs to space group Cmc2_1 (No. 36); the cell edges are 15.8692, 13.6562 and 9.3523 Å and the angles 90.00°, 90.00° and 90.00°. The asymmetric unit holds Rb at (0.0000, 0.0082, 0.0000), Rb at (0.2059, 0.3870, 0.4243), B at (0.0000, 0.2938, 0.7733), I at (0.0000, 0.2949, 0.0123), I at (0.0000, 0.4469, 0.6809), I at (0.1136, 0.2101, 0.6912) and I at (0.1742, 0.0878, 0.2581).